A relaxed structure of K3Co2IrO6. Source: Alexandria, functional PBE with a Hubbard U.

Results
total magnetization = 0.0 μB/cell
energy = -64.596 eV per cell

abc: 5.3873 5.3873 6.0608
angles: 98.53 98.53 119.99
Closest atoms and distances in Å follow each position.
Atoms (fractional coordinates):
K: 0.0000 0.0000 0.0000  6 O 2.61-2.67
K: 0.3355 0.6645 0.0000  6 O 2.62-2.67
K: 0.6645 0.3355 0.0000  6 O 2.62-2.67
Co: 0.1667 0.8333 0.5000  6 O 2.01
Co: 0.8333 0.1667 0.5000  6 O 2.01
Ir: 0.5000 0.5000 0.5000  6 O 2.08
O: 0.1010 0.4452 0.3357  2 Co 2.01, 1 Ir 2.08
O: 0.2104 0.2104 0.6636  2 Co 2.01, 1 Ir 2.08
O: 0.4452 0.1010 0.3357  2 Co 2.01, 1 Ir 2.08
O: 0.5548 0.8990 0.6643  2 Co 2.01, 1 Ir 2.08
O: 0.7896 0.7896 0.3364  2 Co 2.01, 1 Ir 2.08
O: 0.8990 0.5548 0.6643  2 Co 2.01, 1 Ir 2.08